This record from the Alexandria database describes a relaxed structure of Th2CoNi. The functional is PBE-GGA.

DOS at the Fermi energy in states/eV/f.u.: 3.7
Space-group type: No. 166
Total magnetization in μB/cell: 0.0
Energy above the most stable polymorph in this dataset in kcal/mol of atoms: 15.47
Crystal system: trigonal

a = 8.4939 Å, b = 8.4939 Å, c = 8.4939 Å
α = 26.10°, β = 26.10°, γ = 26.10°
Closest atoms and distances in Å follow each position.
Fractional coordinates of all 4 atoms:
Th  0.1037  0.1037  0.1037  1 Ni 2.55, 3 Co 2.70
Th  0.8963  0.8963  0.8963  1 Ni 2.55, 3 Co 2.70
Co  0.5000  0.5000  0.5000  6 Th 2.70
Ni  0.0000  0.0000  0.0000  2 Th 2.55